DFT (PBE) results for a relaxed structure of Sb2AuSe.

a b c (Å): 4.0470 4.0470 7.4203
angles (deg): 75.33 75.33 59.00
Fractional coordinates of all 4 atoms:
Sb: 0.4912 0.4912 0.5222
Sb: 0.0088 0.0088 0.9778
Au: 0.7500 0.7500 0.7500
Se: 0.2500 0.2500 0.2500

Computed properties:
- crystal system = monoclinic
- space group = C2/m (12)
- DFT total energy (Ry per atom) = -0.2810

DFT (PBE) results for a relaxed structure of MgWBr2.

a b c (Å): 5.7105 5.8145 3.2509
angles (deg): 95.66 70.43 122.49
Last column: magnetic moment on the atom in μB.
Fractional coordinates of all 4 atoms:
Br: 0.0000 0.5000 0.5000  0.01
Br: 0.0000 0.0000 0.0000  0.01
Mg: 0.5000 0.5000 0.0000  -0.02
W: 0.5000 0.0000 0.5000  1.24

Computed properties:
- crystal system = monoclinic
- space group = C2/m (12)
- offset from the most stable computed form (eV/f.u.) = 2.851

DFT (PBE) results for a relaxed structure of Th4ZnTe2C.

a b c (Å): 4.0043 7.3393 7.8307
angles (deg): 106.69 90.00 90.00
Fractional coordinates of all 8 atoms:
Th: 0.5000 0.2671 0.2056
Th: 0.5000 0.7329 0.7944
Th: 0.0000 0.2946 0.8075
Th: 0.0000 0.7054 0.1925
Te: 0.0000 0.5000 0.5000
Te: 0.5000 0.0000 0.5000
Zn: 0.0000 0.0000 0.0000
C: 0.5000 0.5000 0.0000

Computed properties:
- crystal system = monoclinic
- space group = P2/m (10)
- DFT total energy (Ry per atom) = -0.4727

DFT (PBE) results for a relaxed structure of YAl3Ag.

a b c (Å): 4.8661 4.8661 4.8661
angles (deg): 90.00 90.00 90.00
Fractional coordinates of all 5 atoms:
Ag: 0.0000 0.0000 0.0000
Al: 0.5000 0.0000 0.0000
Al: 0.0000 0.0000 0.5000
Al: 0.0000 0.5000 0.0000
Y: 0.5000 0.5000 0.5000

Computed properties:
- crystal system = cubic
- space group = Pm-3m (221)
- offset from the most stable computed form (eV/f.u.) = 3.015
- energy of formation from the pure elements (kJ/mol of atoms) = 22.43

DFT (PBE) results for a relaxed structure of NpPaFe2P2.

a b c (Å): 3.9250 3.9250 7.3215
angles (deg): 90.00 90.00 120.00
Last column: magnetic moment on the atom in μB.
Fractional coordinates of all 6 atoms:
Pa: 0.0000 0.0000 0.5000  0.45
P: 0.6667 0.3333 0.7420  -0.04
P: 0.3333 0.6667 0.2580  -0.04
Fe: 0.3333 0.6667 0.7788  -1.00
Fe: 0.6667 0.3333 0.2212  -1.00
Np: 0.0000 0.0000 0.0000  3.23

Computed properties:
- crystal system = trigonal
- space group = P-3m1 (164)
- energy of formation from the pure elements (kJ/mol of atoms) = -79.07

DFT (PBE) results for a relaxed structure of TmUO5.

a b c (Å): 4.0120 5.7469 5.7469
angles (deg): 72.39 69.57 69.57
Last column: magnetic moment on the atom in μB.
Fractional coordinates of all 7 atoms:
U: 0.5000 0.5000 0.5000  -0.03
O: 0.0000 0.3243 0.6757  0.22
O: 0.0000 0.6757 0.3243  0.22
O: 0.7226 0.2774 0.2774  0.02
O: 0.5000 0.0000 0.0000  0.42
O: 0.2774 0.7226 0.7226  0.02
Tm: 0.0000 0.0000 0.0000  0.25

Computed properties:
- crystal system = orthorhombic
- space group = Immm (71)
- DFT total energy (Ry per atom) = -0.6288

no.,spin magnetization (μB per formula unit),DOS at the Fermi energy (states/eV per cell)
1,0.0,2.3
2,1.5,3.5
3,0.0,5.9
4,0.0,2.9
5,2.1,4.1
6,1.1,5.1